(1)
Below is a relaxed structure of La2Zn7Ir, with properties calculated at the PBE level.

As for the formation energy from the elements: -320 kJ/mol of formula units.

The space group is P-4m2 (No. 115) and the conventional cell measures 4.353, 4.353 and 10.342 Å, with angles of 90.00, 90.00 and 90.00 degrees. Symmetry generates all atoms from La at (0.000, 0.500, 0.239), Zn at (0.000, 0.000, 0.000), Zn at (0.000, 0.000, 0.500), Zn at (0.000, 0.500, 0.629), Zn at (0.000, 0.500, 0.870), Zn at (0.500, 0.500, 0.500) and Ir at (0.500, 0.500, 0.000).

***

(2)
Below is a relaxed structure of Zn3Sn, with properties calculated at the PBE level.

As for the formation energy from the elements: 46 kJ/mol of formula units.

The space group is Pmm2 (No. 25) and the conventional cell measures 3.351, 4.187 and 5.546 Å, with angles of 90.00, 90.00 and 90.00 degrees. Symmetry generates all atoms from Zn at (0.000, 0.000, 0.000), Zn at (0.000, 0.500, 0.311), Zn at (0.500, 0.000, 0.383) and Sn at (0.500, 0.500, 0.773).

***

(3)
Below is a relaxed structure of TbPaGaHg, with properties calculated at the PBE level.

As for the formation energy from the elements: -57 kJ/mol of formula units.

The space group is F-43m (No. 216) and the conventional cell measures 7.332, 7.332 and 7.332 Å, with angles of 90.00, 90.00 and 90.00 degrees. Symmetry generates all atoms from Tb at (0.000, 0.000, 0.000), Pa at (0.000, 0.000, 0.500), Ga at (0.250, 0.250, 0.250) and Hg at (0.250, 0.250, 0.750).

***

(4)
Below is a relaxed structure of SrGeTeI2, with properties calculated at the PBE level.

As for the energy above the most stable polymorph in this dataset: 0.0000 eV/atom. As for the energy relative to the elements, uncorrected: -619 meV/atom.

The space group is P4/mmm (No. 123) and the conventional cell measures 5.665, 5.665 and 5.874 Å, with angles of 90.00, 90.00 and 90.00 degrees. Symmetry generates all atoms from Sr at (0.000, 0.000, 0.000), Ge at (0.500, 0.500, 0.500), Te at (0.500, 0.500, 0.000) and I at (0.000, 0.500, 0.500).

***

(5)
Below is a relaxed structure of Ba3Zn2In2Pt4, with properties calculated at the PBE level.

As for the formation energy from the elements: -662 kJ/mol of formula units.

The space group is P-3m1 (No. 164) and the conventional cell measures 4.5551, 4.5551 and 16.6471 Å, with angles of 90.00, 90.00 and 120.00 degrees. Symmetry generates all atoms from Ba at (0.0000, 0.0000, 0.0000), Ba at (0.0000, 0.0000, 0.2727), Zn at (0.3333, 0.6667, 0.1356), In at (0.3333, 0.6667, 0.5631), Pt at (0.3333, 0.6667, 0.3969) and Pt at (0.3333, 0.6667, 0.8660).

***

(6)
Below is a relaxed structure of BeZnSn2, with properties calculated at the PBE level.

As for the energy above the most stable polymorph in this dataset: 0.2234 eV/atom. As for the formation energy from the elements: 166 kJ/mol of formula units.

The space group is Fm-3m (No. 225) and the conventional cell measures 6.863, 6.863 and 6.863 Å, with angles of 90.00, 90.00 and 90.00 degrees. Symmetry generates all atoms from Be at (0.000, 0.000, 0.000), Zn at (0.000, 0.000, 0.500) and Sn at (0.250, 0.250, 0.250).